Entry 1:
# La2ErHg5 | the Alexandria database | PBE | relaxed
# **DOS(E_F)**: 6.968 states/eV/f.u.
# **Formation energy from the elements**: -422 meV per atom
# **Total DFT energy (no corrections)**: -2.41 eV per atom
data_La2ErHg5
_chemical_formula_sum 'La4 Er2 Hg10'
_symmetry_space_group_name_H-M 'I 4/m m m'
_symmetry_Int_Tables_number 139
_symmetry_space_group_name_Hall '-I 4 2'
_cell_length_a 5.253
_cell_length_b 5.253
_cell_length_c 15.400
_cell_angle_alpha 90.00
_cell_angle_beta 90.00
_cell_angle_gamma 90.00
loop_
_atom_site_label
_atom_site_type_symbol
_atom_site_fract_x
_atom_site_fract_y
_atom_site_fract_z
La1 La 0.000 0.000 0.236
Er1 Er 0.000 0.000 0.500
Hg1 Hg 0.000 0.000 0.000
Hg2 Hg 0.000 0.500 0.114



Entry 2:
# La2NbV | the Alexandria database | PBE | relaxed
# **DOS(E_F)**: 5.151 states/eV/f.u.
# **Energy relative to the lowest polymorph listed for this composition**: 347 meV per atom
# **Formation energy from the elements**: 882 meV per atom
# **Total DFT energy (no corrections)**: -6.38 eV per atom
data_La2NbV
_chemical_formula_sum 'La8 Nb4 V4'
_symmetry_space_group_name_H-M 'I -4 2 d'
_symmetry_Int_Tables_number 122
_symmetry_space_group_name_Hall 'I -4 2bw'
_cell_length_a 8.201
_cell_length_b 8.201
_cell_length_c 6.240
_cell_angle_alpha 90.00
_cell_angle_beta 90.00
_cell_angle_gamma 90.00
loop_
_atom_site_label
_atom_site_type_symbol
_atom_site_fract_x
_atom_site_fract_y
_atom_site_fract_z
La1 La 0.240 0.250 0.125
Nb1 Nb 0.000 0.000 0.500
V1 V 0.000 0.000 0.000



Entry 3:
# Li3ErCu3 | the Alexandria database | PBE | relaxed
# **DOS(E_F)**: 3.256 states/eV/f.u.
# **Formation energy from the elements**: 413 meV per atom
# **Total DFT energy (no corrections)**: -2.81 eV per atom
data_Li3ErCu3
_chemical_formula_sum 'Li6 Er2 Cu6'
_symmetry_space_group_name_H-M 'P m -3 n'
_symmetry_Int_Tables_number 223
_symmetry_space_group_name_Hall '-P 4n 2 3'
_cell_length_a 6.337
_cell_length_b 6.337
_cell_length_c 6.337
_cell_angle_alpha 90.00
_cell_angle_beta 90.00
_cell_angle_gamma 90.00
loop_
_atom_site_label
_atom_site_type_symbol
_atom_site_fract_x
_atom_site_fract_y
_atom_site_fract_z
Li1 Li 0.000 0.250 0.500
Er1 Er 0.000 0.000 0.000
Cu1 Cu 0.000 0.500 0.250



Entry 4:
# AcPr2Hg3 | the Alexandria database | PBE | relaxed
# **DOS(E_F)**: 6.576 states/eV/f.u.
# **Formation energy from the elements**: -465 meV per atom
# **Total DFT energy (no corrections)**: -2.89 eV per atom
data_AcPr2Hg3
_chemical_formula_sum 'Ac4 Pr8 Hg12'
_symmetry_space_group_name_H-M 'C m m m'
_symmetry_Int_Tables_number 65
_symmetry_space_group_name_Hall '-C 2 2'
_cell_length_a 5.532
_cell_length_b 16.642
_cell_length_c 7.894
_cell_angle_alpha 90.00
_cell_angle_beta 90.00
_cell_angle_gamma 90.00
loop_
_atom_site_label
_atom_site_type_symbol
_atom_site_fract_x
_atom_site_fract_y
_atom_site_fract_z
Ac1 Ac 0.000 0.165 0.000
Pr1 Pr 0.000 0.168 0.500
Pr2 Pr 0.000 0.500 0.000
Pr3 Pr 0.000 0.500 0.500
Hg1 Hg 0.000 0.000 0.262
Hg2 Hg 0.000 0.337 0.262



Entry 5:
# NdNiAs2Rh2 | the Alexandria database | PBE | relaxed
# **DOS(E_F)**: 4.057 states/eV/f.u.
# **Formation energy from the elements**: -317 meV per atom
# **Total DFT energy (no corrections)**: -6.08 eV per atom
data_NdNiAs2Rh2
_chemical_formula_sum 'Nd1 Ni1 As2 Rh2'
_symmetry_space_group_name_H-M 'P 4/m m m'
_symmetry_Int_Tables_number 123
_symmetry_space_group_name_Hall '-P 4 2'
_cell_length_a 4.498
_cell_length_b 4.498
_cell_length_c 5.506
_cell_angle_alpha 90.00
_cell_angle_beta 90.00
_cell_angle_gamma 90.00
loop_
_atom_site_label
_atom_site_type_symbol
_atom_site_fract_x
_atom_site_fract_y
_atom_site_fract_z
Nd1 Nd 0.000 0.000 0.000
Ni1 Ni 0.000 0.000 0.500
As1 As 0.000 0.500 0.500
Rh1 Rh 0.500 0.500 0.242



Entry 6:
# RePtPbW2 | the Alexandria database | PBE | relaxed
# **DOS(E_F)**: 5.428 states/eV/f.u.
# **Formation energy from the elements**: 1915 meV per atom
# **Total DFT energy (no corrections)**: -7.71 eV per atom
data_RePtPbW2
_chemical_formula_sum 'Re1 Pt1 Pb1 W2'
_symmetry_space_group_name_H-M 'P 4/m m m'
_symmetry_Int_Tables_number 123
_symmetry_space_group_name_Hall '-P 4 2'
_cell_length_a 4.781
_cell_length_b 4.781
_cell_length_c 5.110
_cell_angle_alpha 90.00
_cell_angle_beta 90.00
_cell_angle_gamma 90.00
loop_
_atom_site_label
_atom_site_type_symbol
_atom_site_fract_x
_atom_site_fract_y
_atom_site_fract_z
Re1 Re 0.000 0.000 0.000
Pt1 Pt 0.500 0.500 0.500
Pb1 Pb 0.000 0.000 0.500
W1 W 0.000 0.500 0.000



Entry 7:
# NaBiSb2 | the Alexandria database | PBE | relaxed
# **DOS(E_F)**: 3.484 states/eV/f.u.
# **Total DFT energy (no corrections)**: -3.35 eV per atom
# **Uncorrected formation energy**: 14 meV/atom
data_NaBiSb2
_chemical_formula_sum 'Na3 Bi3 Sb6'
_symmetry_space_group_name_H-M 'R -3 m'
_symmetry_Int_Tables_number 166
_symmetry_space_group_name_Hall '-R 3 2"'
_cell_length_a 4.1988
_cell_length_b 4.1988
_cell_length_c 25.5242
_cell_angle_alpha 90.00
_cell_angle_beta 90.00
_cell_angle_gamma 120.00
loop_
_atom_site_label
_atom_site_type_symbol
_atom_site_fract_x
_atom_site_fract_y
_atom_site_fract_z
Na1 Na 0.0000 0.0000 0.0000
Bi1 Bi 0.0000 0.0000 0.5000
Sb1 Sb 0.0000 0.0000 0.2436



Entry 8:
# Ba2GeO | the Alexandria database | PBE | relaxed
# **DOS(E_F)**: 4.107 states/eV/f.u.
# **Energy relative to the lowest polymorph listed for this composition**: 342 meV per atom
# **Total DFT energy (no corrections)**: -4.24 eV per atom
# **Uncorrected formation energy**: -883 meV/atom
data_Ba2GeO
_chemical_formula_sum 'Ba6 Ge3 O3'
_symmetry_space_group_name_H-M 'R -3 m'
_symmetry_Int_Tables_number 166
_symmetry_space_group_name_Hall '-R 3 2"'
_cell_length_a 3.9365
_cell_length_b 3.9365
_cell_length_c 28.4633
_cell_angle_alpha 90.00
_cell_angle_beta 90.00
_cell_angle_gamma 120.00
loop_
_atom_site_label
_atom_site_type_symbol
_atom_site_fract_x
_atom_site_fract_y
_atom_site_fract_z
Ba1 Ba 0.0000 0.0000 0.1135
Ge1 Ge 0.0000 0.0000 0.0000
O1 O 0.0000 0.0000 0.5000



Entry 9:
# Re2BiC | the Alexandria database | PBE | relaxed
# **DOS(E_F)**: 3.759 states/eV/f.u.
# **Energy relative to the lowest polymorph listed for this composition**: 0 meV per atom
# **Formation energy from the elements**: 1047 meV per atom
# **Total DFT energy (no corrections)**: -8.45 eV per atom
data_Re2BiC
_chemical_formula_sum 'Re8 Bi4 C4'
_symmetry_space_group_name_H-M 'I -4 2 d'
_symmetry_Int_Tables_number 122
_symmetry_space_group_name_Hall 'I -4 2bw'
_cell_length_a 4.906
_cell_length_b 4.906
_cell_length_c 12.563
_cell_angle_alpha 90.00
_cell_angle_beta 90.00
_cell_angle_gamma 90.00
loop_
_atom_site_label
_atom_site_type_symbol
_atom_site_fract_x
_atom_site_fract_y
_atom_site_fract_z
Re1 Re 0.094 0.250 0.125
Bi1 Bi 0.000 0.000 0.500
C1 C 0.000 0.000 0.000



Entry 10:
# SrLaAl | the Alexandria database | PBE | relaxed
# **DOS(E_F)**: 3.225 states/eV/f.u.
# **Energy relative to the lowest polymorph listed for this composition**: 91 meV per atom
# **Formation energy from the elements**: -115 meV per atom
# **Total DFT energy (no corrections)**: -3.57 eV per atom
data_SrLaAl
_chemical_formula_sum 'Sr2 La2 Al2'
_symmetry_space_group_name_H-M 'P -1'
_symmetry_Int_Tables_number 2
_cell_length_a 4.344
_cell_length_b 6.163
_cell_length_c 8.609
_cell_angle_alpha 78.04
_cell_angle_beta 89.66
_cell_angle_gamma 89.93
loop_
_symmetry_equiv_pos_as_xyz
'x,y,z'
'-x,-y,-z'
loop_
_atom_site_label
_atom_site_type_symbol
_atom_site_fract_x
_atom_site_fract_y
_atom_site_fract_z
Sr1 Sr 0.247 0.296 0.345
La1 La 0.253 0.161 0.831
Al1 Al 0.250 0.628 0.966



Entry 11:
# U4Ge8Os | the Alexandria database | PBE | relaxed
# **DOS(E_F)**: 24.164 states/eV/f.u.
# **Formation energy from the elements**: -169 meV per atom
# **Total DFT energy (no corrections)**: -7.35 eV per atom
data_U4Ge8Os
_chemical_formula_sum 'U4 Ge8 Os1'
_symmetry_space_group_name_H-M 'P m m 2'
_symmetry_Int_Tables_number 25
_cell_length_a 4.037
_cell_length_b 4.117
_cell_length_c 15.842
_cell_angle_alpha 90.00
_cell_angle_beta 90.00
_cell_angle_gamma 90.00
loop_
_symmetry_equiv_pos_as_xyz
'x,y,z'
'-x,-y,z'
'-x,y,z'
'x,-y,z'
loop_
_atom_site_label
_atom_site_type_symbol
_atom_site_fract_x
_atom_site_fract_y
_atom_site_fract_z
U1 U 0.000 0.000 0.000
U2 U 0.000 0.500 0.478
U3 U 0.500 0.000 0.779
U4 U 0.500 0.500 0.284
Ge1 Ge 0.000 0.000 0.322
Ge2 Ge 0.000 0.000 0.612
Ge3 Ge 0.000 0.500 0.142
Ge4 Ge 0.000 0.500 0.858
Ge5 Ge 0.500 0.000 0.143
Ge6 Ge 0.500 0.000 0.435
Ge7 Ge 0.500 0.500 0.611
Ge8 Ge 0.500 0.500 0.963
Os1 Os 0.000 0.500 0.705



Entry 12:
# Ag6Pt5 | the Alexandria database | PBE | relaxed
# **DOS(E_F)**: 6.929 states/eV/f.u.
# **Energy relative to the lowest polymorph listed for this composition**: 47 meV per atom
# **Formation energy from the elements**: 43 meV per atom
# **Total DFT energy (no corrections)**: -4.26 eV per atom
data_Ag6Pt5
_chemical_formula_sum 'Ag12 Pt10'
_symmetry_space_group_name_H-M 'C 1 m 1'
_symmetry_Int_Tables_number 8
_cell_length_a 14.729
_cell_length_b 4.060
_cell_length_c 6.324
_cell_angle_alpha 90.00
_cell_angle_beta 103.88
_cell_angle_gamma 90.00
loop_
_symmetry_equiv_pos_as_xyz
'x,y,z'
'x,-y,z'
'x+1/2,y+1/2,z'
'x+1/2,-y+1/2,z'
loop_
_atom_site_label
_atom_site_type_symbol
_atom_site_fract_x
_atom_site_fract_y
_atom_site_fract_z
Ag1 Ag 0.000 0.000 0.000
Ag2 Ag 0.042 0.500 0.726
Ag3 Ag 0.089 0.000 0.455
Ag4 Ag 0.180 0.000 0.909
Ag5 Ag 0.272 0.000 0.361
Ag6 Ag 0.452 0.000 0.269
Pt1 Pt 0.140 0.500 0.189
Pt2 Pt 0.227 0.500 0.640
Pt3 Pt 0.317 0.500 0.081
Pt4 Pt 0.361 0.000 0.813
Pt5 Pt 0.402 0.500 0.543



Values for calculated density, g/cm³, ordered as above
11.3 6.7 4.9 10.2 8.3 13.6 6.1 4.7 13.0 3.7 10.9 14.7